This record from the Alexandria database describes a geometry-optimized Bi3MoO structure. The functional is PBE+U.

a b c (Å): 4.9531 4.9531 4.9531
angles (deg): 90.00 90.00 90.00
Last column: nearest neighbours and their distance in Å.
Space group Pm-3m (No. 221)
One atom of each set of equivalent atoms:
Bi 0.0000 0.0000 0.5000 [3 per cell]  2 O 2.48
Mo 0.5000 0.5000 0.5000 [1 per cell]  12 Bi 3.50
O 0.0000 0.0000 0.0000 [1 per cell]  6 Bi 2.48

Summary:
The total magnetization is 3.35 Bohr magnetons per cell. The density of states at the Fermi level is 1.119 states/eV/cell. The value obtained for the total energy is -23.0 eV/cell.